[1]
DFT (GGA-PBE) results for a relaxed ZnSn2I2 crystal.

```
ZnSn2I2
1.0
-3.238 3.238 4.387
3.238 -3.238 4.387
3.238 3.238 -4.387
Zn Sn I
1 2 2
Cartesian
0.000 0.000 0.000
0.000 0.000 2.764
0.000 0.000 6.010
3.238 0.000 2.194
0.000 3.238 2.194
```

Properties
VASP energy	-12.37	eV per cell
energy relative to the lowest polymorph listed for this composition	3.6	kJ per mole of atoms
formation energy (no corrections)	2	meV/atom
crystal system	tetragonal

[2]
DFT (GGA-PBE) results for a relaxed Zn5SnI12 crystal.

```
Zn5SnI12
1.0
7.264 0.000 0.000
-3.118 6.951 0.000
-0.960 -2.592 15.810
Zn Sn I
5 1 12
Cartesian
0.000 0.000 0.000
-2.610 4.466 6.851
0.118 2.136 14.980
3.069 2.224 0.830
5.797 -0.107 8.960
1.593 2.180 7.905
-0.464 0.045 6.418
-2.370 2.434 14.365
-0.291 1.730 10.396
1.685 0.250 2.035
-0.089 4.386 6.299
0.988 -0.307 14.200
2.198 4.666 1.611
3.276 -0.027 9.511
1.501 4.109 13.776
3.477 2.629 5.414
5.556 1.925 1.445
3.650 4.314 9.392
```

Properties
VASP energy	-38.16	eV per cell
formation energy (no corrections)	-510	meV/atom
crystal system	triclinic

[3]
DFT (GGA-PBE) results for a relaxed ZnSnI3 crystal.

```
ZnSnI3
1.0
5.583 0.000 0.000
0.000 5.583 0.000
0.000 0.000 5.583
Zn Sn I
1 1 3
Cartesian
0.000 0.000 0.000
2.792 2.792 2.792
0.000 0.000 2.792
0.000 2.792 0.000
2.792 0.000 0.000
```

Properties
VASP energy	-10.19	eV per cell
energy relative to the lowest polymorph listed for this composition	0.0	kJ per mole of atoms
formation energy (no corrections)	-53	meV/atom
crystal system	cubic

[4]
DFT (GGA-PBE) results for a relaxed Zn2Sn2I crystal.

```
Zn2Sn2I
1.0
8.454 0.000 0.000
0.000 8.454 0.000
0.000 0.000 3.687
Zn Sn I
4 4 2
Cartesian
1.408 2.819 0.000
2.819 7.046 0.000
5.636 1.408 0.000
7.046 5.636 0.000
1.123 5.350 1.844
3.104 1.123 1.844
5.350 7.331 1.844
7.331 3.104 1.844
0.000 0.000 1.844
4.227 4.227 1.844
```

Properties
VASP energy	-22.81	eV per cell
energy relative to the lowest polymorph listed for this composition	0.6	kJ per mole of atoms
formation energy (no corrections)	140	meV/atom
crystal system	tetragonal

Question: What is the formula in the second record?
Answer: Zn5SnI12